{"formula": "TiGa", "functional": "PBE", "state": "relaxed", "cell": [[3.403, 0.000, 0.000], [0.000, 3.403, 0.000], [0.000, 0.000, 2.764]], "species": ["Ti", "Ga"], "frac_coords": [[0.000, 0.000, 0.000], [0.500, 0.500, 0.500]], "crystal_system": "tetragonal", "magnetic_moment_mub_per_fu": 0.00, "e_form_mev_per_atom": -353}